Compound: CsCo2S2
Source: Alexandria via LeMat-Bulk
Functional: PBE
Structure: optimized geometry

Cell: 3.665 3.665 7.371 Å, 90.00 90.00 90.00°
Fractional coordinates of all 5 atoms:
Cs  0.000  0.000  0.000
Co  0.000  0.500  0.500
Co  0.500  0.000  0.500
S  0.500  0.500  0.312
S  0.500  0.500  0.688

Space group: P4/mmm (123)
Excess energy over the best structure of this formula in the dataset: 0.145 eV/atom
Uncorrected formation energy: -0.4714 eV per atom
Density: 5.28 g cm⁻³